1.
This record from Alexandria describes a relaxed CrAs2Os crystal. The functional is PBEsol.

abc: 2.979 5.007 7.890
angles: 90.00 90.00 90.00
Space group Immm (No. 71)
One atom of each set of equivalent atoms:
Cr: 0.000 0.000 0.000 (multiplicity 2)
As: 0.000 0.500 0.256 (multiplicity 4)
Os: 0.000 0.000 0.500 (multiplicity 2)

Summary:
The calculation puts the total energy at -30.54 eV/f.u. The calculation puts the energy of formation at 0.533 eV per atom. The calculation puts the offset from the most stable computed form at 376 meV/atom.

2.
This record from Alexandria describes a relaxed CrAsOs2 crystal. The functional is PBEsol.

abc: 6.033 6.033 6.033
angles: 90.00 90.00 90.00
Space group F-43m (No. 216)
One atom of each set of equivalent atoms:
Cr: 0.000 0.000 0.000 (multiplicity 4)
As: 0.250 0.250 0.250 (multiplicity 4)
Os: 0.000 0.000 0.500 (multiplicity 4)
Os: 0.250 0.250 0.750 (multiplicity 4)

Summary:
The calculation puts the total energy at -37.78 eV/f.u. The calculation puts the energy of formation at 0.501 eV per atom.

3.
This record from Alexandria describes a relaxed CrAsP2 crystal. The functional is PBEsol.

abc: 3.311 4.395 7.839
angles: 90.00 90.00 90.00
Space group Immm (No. 71)
One atom of each set of equivalent atoms:
Cr: 0.000 0.000 0.000 (multiplicity 2)
As: 0.000 0.000 0.500 (multiplicity 2)
P: 0.000 0.500 0.234 (multiplicity 4)

Summary:
The calculation puts the total energy at -25.41 eV/f.u. The calculation puts the energy of formation at 0.381 eV per atom.